(1)
Below is a geometry-optimized K2SrSc structure, with properties calculated at the PBE level.

Lattice parameters (Å, degrees): 10.5857 10.5857 8.3556 50.69 50.69 90.00
Closest atoms and distances in Å follow each position.
Sites, in units of the cell vectors:
Sc 0.5000 0.5000 0.0000  4 K 3.71, 2 Sr 3.71
Sc 0.2500 0.7500 0.5000  4 K 3.71, 2 Sr 3.71
Sr 0.0000 0.0000 0.0000  2 Sc 3.71, 4 K 4.01
Sr 0.7500 0.2500 0.5000  2 Sc 3.71, 4 K 4.01
K 0.6042 0.1250 0.2500  2 Sc 3.71, 2 K 3.74, 2 Sr 4.01
K 0.1458 0.6250 0.2500  2 Sc 3.71, 2 K 3.74, 2 Sr 4.01
K 0.3750 0.3958 0.7500  2 Sc 3.71, 2 K 3.74, 2 Sr 4.01
K 0.8750 0.8542 0.7500  2 Sc 3.71, 2 K 3.74, 2 Sr 4.01

* polymorph energy (0 for the lowest one): 138 kJ/mol of formula units
* symmetry: No. 122
* ΔH_f (0 K): 275 kJ/mol of formula units

---

(2)
Below is a geometry-optimized SmGa2GeIr structure, with properties calculated at the PBE level.

Lattice parameters (Å, degrees): 4.1083 4.0334 6.2798 108.73 109.09 90.00
Closest atoms and distances in Å follow each position.
Sites, in units of the cell vectors:
Sm 0.4398 0.4398 0.8796  4 Ge 3.12, 8 Ga 3.16-3.49, 2 Ir 3.37
Ga 0.6870 0.1870 0.3739  2 Ga 2.52, 2 Ge 2.59
Ga 0.0557 0.0557 0.1114  1 Ge 2.49, 2 Ga 2.52, 2 Ir 2.56
Ge 0.8322 0.8322 0.6644  3 Ga 2.49-2.59, 2 Ir 2.55
Ir 0.1975 0.6975 0.3950  2 Ge 2.55, 2 Ga 2.56

* symmetry: No. 44
* ΔH_f (0 K): -273 kJ/mol of formula units

---

(3)
Below is a geometry-optimized Ru3WI structure, with properties calculated at the PBE level.

Lattice parameters (Å, degrees): 4.6952 4.6952 4.6952 90.00 90.00 90.00
Closest atoms and distances in Å follow each position.
Sites, in units of the cell vectors:
I 0.0000 0.0000 0.0000  6 Ru 2.35
Ru 0.0000 0.5000 0.0000  2 I 2.35
Ru 0.0000 0.0000 0.5000  2 I 2.35
Ru 0.5000 0.0000 0.0000  2 I 2.35
W 0.5000 0.5000 0.5000  12 Ru 3.32

* polymorph energy (0 for the lowest one): 365 kJ/mol of formula units
* E_form (uncorrected): 2.45 eV/atom
* symmetry: No. 221

---

(4)
Below is a geometry-optimized Y2HoNi9 structure, with properties calculated at the PBE level.

Lattice parameters (Å, degrees): 4.9661 4.9661 8.6160 73.25 73.25 60.00
Closest atoms and distances in Å follow each position.
Sites, in units of the cell vectors:
Y 0.8613 0.8613 0.4161  12 Ni 2.85-3.11, 3 Y 3.18
Y 0.1387 0.1387 0.5839  12 Ni 2.85-3.11, 3 Y 3.18
Ho 0.0000 0.0000 0.0000  18 Ni 2.87-3.18
Ni 0.6670 0.6670 0.9991  6 Ni 2.44-2.46
Ni 0.3330 0.3330 0.0009  6 Ni 2.44-2.46
Ni 0.5000 0.5000 0.5000  6 Ni 2.52
Ni 0.4182 0.4182 0.2446  7 Ni 2.44-2.52
Ni 0.9191 0.4182 0.2446  7 Ni 2.44-2.52
Ni 0.4182 0.9191 0.2446  7 Ni 2.44-2.52
Ni 0.5818 0.5818 0.7554  7 Ni 2.44-2.52
Ni 0.5818 0.0809 0.7554  7 Ni 2.44-2.52
Ni 0.0809 0.5818 0.7554  7 Ni 2.44-2.52

* symmetry: No. 166
* ΔH_f (0 K): -465 kJ/mol of formula units

---

(5)
Below is a geometry-optimized CaDyPb2 structure, with properties calculated at the PBE level.

Lattice parameters (Å, degrees): 4.3817 5.1652 5.1652 90.00 90.00 90.00
Closest atoms and distances in Å follow each position.
Sites, in units of the cell vectors:
Pb 0.0000 0.0000 0.5000  4 Dy 3.39, 4 Ca 3.39, 4 Pb 3.65
Pb 0.0000 0.5000 0.0000  4 Dy 3.39, 4 Ca 3.39, 4 Pb 3.65
Ca 0.5000 0.5000 0.5000  8 Pb 3.39, 4 Dy 3.65
Dy 0.5000 0.0000 0.0000  8 Pb 3.39, 4 Ca 3.65

* symmetry: No. 123
* ΔH_f (0 K): -173 kJ/mol of formula units

---

(6)
Below is a geometry-optimized CaTaP structure, with properties calculated at the PBE level.

Lattice parameters (Å, degrees): 4.2490 4.2490 4.3166 90.00 90.00 120.00
Closest atoms and distances in Å follow each position.
Sites, in units of the cell vectors:
Ca 0.0000 0.0000 0.9999  6 Ta 3.27, 6 P 3.27
P 0.3333 0.6667 0.5000  3 Ta 2.45
Ta 0.6667 0.3333 0.5000  3 P 2.45

* symmetry: No. 187
* ΔH_f (0 K): -41 kJ/mol of formula units

---

M_tot values, unit μB/cell, following the record order: 4.11, 0.00, 0.03, 1.04, 0.00, 1.04.
Raw total energy values, unit eV per atom, following the record order: -1.84, -5.42, -6.02, -6.20, -3.95, -6.56.